KNa2Bi2, optimized geometry, DFT PBE; space-group type = No. 12; total magnetic moment = 0.00 μB per formula unit; formation energy from the elements = -0.237 eV per atom; offset from the most stable computed form = 1.949 kcal/mol of atoms
1.0
6.056 -2.670 0.000
6.056 2.670 0.000
-0.907 0.000 6.298
K Na Bi
1 2 2
direct
0.000 0.000 0.000 K
0.335 0.335 0.639 Na
0.665 0.665 0.361 Na
0.299 0.299 0.124 Bi
0.701 0.701 0.876 Bi



KNaBi2, optimized geometry, DFT PBE; space-group type = No. 123; total magnetic moment = 0.00 μB per formula unit; formation energy from the elements = -0.253 eV per atom; offset from the most stable computed form = 0.962 kcal/mol of atoms
1.0
4.276 0.000 0.000
0.000 4.276 0.000
0.000 0.000 7.641
K Na Bi
1 1 2
direct
0.000 0.000 0.000 K
0.000 0.000 0.500 Na
0.500 0.500 0.304 Bi
0.500 0.500 0.696 Bi



K3Na7Bi2, optimized geometry, DFT PBE; space-group type = No. 65; total magnetic moment = 0.00 μB per formula unit; formation energy from the elements = -0.153 eV per atom
1.0
2.870 -16.115 0.000
2.870 16.115 0.000
0.000 0.000 5.702
K Na Bi
3 7 2
direct
0.000 0.000 0.000 K
0.169 0.831 0.000 K
0.831 0.169 0.000 K
0.082 0.918 0.500 Na
0.285 0.715 0.500 Na
0.418 0.582 0.000 Na
0.500 0.500 0.500 Na
0.582 0.418 0.000 Na
0.715 0.285 0.500 Na
0.918 0.082 0.500 Na
0.382 0.618 0.500 Bi
0.618 0.382 0.500 Bi



KNa9Bi2, optimized geometry, DFT PBE; space-group type = No. 166; total magnetic moment = 0.00 μB per formula unit; formation energy from the elements = -0.040 eV per atom
1.0
3.484 2.012 9.893
-3.484 2.012 9.893
0.000 -4.024 9.893
K Na Bi
1 9 2
direct
0.000 0.000 0.000 K
0.069 0.616 0.616 Na
0.340 0.340 0.340 Na
0.384 0.384 0.931 Na
0.384 0.931 0.384 Na
0.500 0.500 0.500 Na
0.616 0.069 0.616 Na
0.616 0.616 0.069 Na
0.660 0.660 0.660 Na
0.931 0.384 0.384 Na
0.130 0.130 0.130 Bi
0.870 0.870 0.870 Bi